First-principles (GGA-PBE) data for a relaxed structure of Ca2FeHgN, as listed in the Alexandria database.

abc: 5.140 5.140 3.588
angles: 90.00 90.00 90.00
Space group P4/mmm (No. 123)
Symmetry-distinct sites (fractional):
Ca 0.000 0.500 0.000 x2
Fe 0.000 0.000 0.500 x1
Hg 0.500 0.500 0.500 x1
N 0.000 0.000 0.000 x1

Values from the calculation:
Electronic total energy in eV per atom: -4.73
ΔE_f (raw) in meV per atom: -514